The following is a DFT calculation (PBE) of crystalline Tc2As4N at its relaxed geometry.

Calculated values
E_form (uncorrected): 4.96 eV per formula unit

Unit cell a=4.084 b=4.084 c=13.632 alpha=90.00 beta=90.00 gamma=90.00
Space group I4/mmm (No. 139)
One atom of each set of equivalent atoms:
Tc 0.000 0.000 0.114 x4
As 0.000 0.000 0.302 x4
As 0.000 0.500 0.000 x4
N 0.000 0.000 0.500 x2

---

The following is a DFT calculation (PBE) of crystalline TcAs3N at its relaxed geometry.

Calculated values
Distance to the lowest polymorph of the same formula: 0.561 eV per atom
E_form (uncorrected): 7.22 eV per formula unit

Unit cell a=4.721 b=4.721 c=4.721 alpha=90.00 beta=90.00 gamma=90.00
Space group Pm-3m (No. 221)
One atom of each set of equivalent atoms:
Tc 0.000 0.000 0.000 x1
As 0.000 0.000 0.500 x3
N 0.500 0.500 0.500 x1

---

The following is a DFT calculation (PBE) of crystalline TcAs3N at its relaxed geometry.

Calculated values
Distance to the lowest polymorph of the same formula: 0.000 eV per atom
E_form (uncorrected): 4.42 eV per formula unit

Unit cell a=4.225 b=4.225 c=4.225 alpha=90.00 beta=90.00 gamma=90.00
Space group Pm-3m (No. 221)
One atom of each set of equivalent atoms:
Tc 0.000 0.000 0.000 x1
As 0.000 0.500 0.500 x3
N 0.500 0.500 0.500 x1

---

The following is a DFT calculation (PBE) of crystalline TcTe2AsN at its relaxed geometry.

Calculated values
Distance to the lowest polymorph of the same formula: 0.829 eV per atom
E_form (uncorrected): 6.12 eV per formula unit

Unit cell a=5.523 b=5.523 c=3.572 alpha=90.00 beta=90.00 gamma=90.00
Space group P4/mmm (No. 123)
One atom of each set of equivalent atoms:
Tc 0.000 0.000 0.000 x1
Te 0.000 0.500 0.500 x2
As 0.500 0.500 0.500 x1
N 0.500 0.500 0.000 x1

---

The following is a DFT calculation (PBE) of crystalline TcTe2AsN at its relaxed geometry.

Calculated values
Distance to the lowest polymorph of the same formula: 0.000 eV per atom
E_form (uncorrected): 1.98 eV per formula unit

Unit cell a=5.379 b=5.379 c=3.720 alpha=90.00 beta=90.00 gamma=90.00
Space group P4/mmm (No. 123)
One atom of each set of equivalent atoms:
Tc 0.000 0.000 0.000 x1
Te 0.000 0.500 0.000 x2
As 0.500 0.500 0.500 x1
N 0.000 0.000 0.500 x1

---

The following is a DFT calculation (PBE) of crystalline TcTeAsN2 at its relaxed geometry.

Calculated values
Distance to the lowest polymorph of the same formula: 0.886 eV per atom
E_form (uncorrected): 8.32 eV per formula unit

Unit cell a=3.752 b=3.752 c=7.098 alpha=90.00 beta=90.00 gamma=90.00
Space group P4/mmm (No. 123)
One atom of each set of equivalent atoms:
Tc 0.000 0.000 0.000 x1
Te 0.500 0.500 0.000 x1
As 0.500 0.500 0.500 x1
N 0.000 0.500 0.500 x2

---

The following is a DFT calculation (PBE) of crystalline TcTeAsN2 at its relaxed geometry.

Calculated values
Distance to the lowest polymorph of the same formula: 0.000 eV per atom
E_form (uncorrected): 3.89 eV per formula unit

Unit cell a=3.905 b=3.905 c=5.807 alpha=90.00 beta=90.00 gamma=90.00
Space group P4/mmm (No. 123)
One atom of each set of equivalent atoms:
Tc 0.000 0.000 0.000 x1
Te 0.000 0.000 0.500 x1
As 0.500 0.500 0.500 x1
N 0.000 0.500 0.000 x2

---

The following is a DFT calculation (PBE) of crystalline ThTcAsN at its relaxed geometry.

Calculated values
E_form (uncorrected): -4.28 eV per formula unit

Unit cell a=4.073 b=4.073 c=8.859 alpha=90.00 beta=90.00 gamma=90.00
Space group P4/nmm (No. 129, origin choice 2)
One atom of each set of equivalent atoms:
Th 0.250 0.250 0.131 x2
Tc 0.250 0.750 0.500 x2
As 0.250 0.250 0.666 x2
N 0.250 0.750 0.000 x2

---

The following is a DFT calculation (PBE) of crystalline Te3AsN at its relaxed geometry.

Calculated values
Distance to the lowest polymorph of the same formula: 0.000 eV per atom
E_form (uncorrected): 4.22 eV per formula unit

Unit cell a=4.785 b=4.785 c=4.785 alpha=90.00 beta=90.00 gamma=90.00
Space group Pm-3m (No. 221)
One atom of each set of equivalent atoms:
Te 0.000 0.000 0.500 x3
As 0.500 0.500 0.500 x1
N 0.000 0.000 0.000 x1

---

The following is a DFT calculation (PBE) of crystalline Te3AsN at its relaxed geometry.

Calculated values
Distance to the lowest polymorph of the same formula: 0.957 eV per atom
E_form (uncorrected): 9.00 eV per formula unit

Unit cell a=5.360 b=5.360 c=5.360 alpha=90.00 beta=90.00 gamma=90.00
Space group Pm-3m (No. 221)
One atom of each set of equivalent atoms:
Te 0.000 0.000 0.500 x3
As 0.000 0.000 0.000 x1
N 0.500 0.500 0.500 x1

---

The following is a DFT calculation (PBE) of crystalline Te2AsN at its relaxed geometry.

Calculated values
Distance to the lowest polymorph of the same formula: 0.499 eV per atom
E_form (uncorrected): 5.12 eV per formula unit

Unit cell a=6.778 b=6.778 c=6.778 alpha=90.00 beta=90.00 gamma=90.00
Space group Fm-3m (No. 225)
One atom of each set of equivalent atoms:
Te 0.250 0.250 0.250 x8
As 0.000 0.000 0.000 x4
N 0.000 0.000 0.500 x4

---

The following is a DFT calculation (PBE) of crystalline Te2AsN at its relaxed geometry.

Calculated values
Distance to the lowest polymorph of the same formula: 0.000 eV per atom
E_form (uncorrected): 3.12 eV per formula unit

Unit cell a=4.1799 b=4.1799 c=22.3232 alpha=90.00 beta=90.00 gamma=120.00
Space group R-3m (No. 166, hexagonal axes)
One atom of each set of equivalent atoms:
Te 0.0000 0.0000 0.0872 x6
As 0.0000 0.0000 0.5000 x3
N 0.0000 0.0000 0.0000 x3

---

| no. | total DFT energy (no corrections) (eV per atom) |
| --- | --- |
| 1 | -6.1000 |
| 2 | -5.0840 |
| 3 | -5.6447 |
| 4 | -4.7001 |
| 5 | -5.5291 |
| 6 | -5.2978 |
| 7 | -6.1837 |
| 8 | -8.7602 |
| 9 | -3.6366 |
| 10 | -2.6799 |
| 11 | -3.5352 |
| 12 | -4.0344 |